1.
A plane-wave DFT calculation with PBE was carried out for a geometry-optimized BaNaSn2Ge structure.

Cell lengths 7.3589, 7.3589, 7.3589 Å; angles 141.77, 141.61, 55.30 degrees
Last column: nearest neighbours and their distance in Å.
Fractional coordinates of all 5 atoms:
Ba1 0.0000 0.0000 0.0000  4 Ge 3.66, 6 Sn 3.71-3.91, 2 Na 3.92
Na1 0.2367 0.7367 0.5000  2 Ge 2.99, 2 Sn 3.11
Sn1 0.3881 0.3881 0.0000  1 Ge 2.78
Sn2 0.7355 0.2355 0.5000  2 Ge 2.98, 2 Sn 3.13
Ge1 0.6014 0.6014 0.0000  3 Sn 2.78-2.98, 2 Na 2.99

## Properties
- Space group: Imm2 (44)
- Formation energy from the elements: -1.8 eV/f.u.
- DFT total energy: -0.130 hartree per atom
- N(E_F): 2.4 states/eV/f.u.



2.
A plane-wave DFT calculation with PBE was carried out for a geometry-optimized Li12TlIn3 structure.

Cell lengths 4.1718, 4.1718, 17.3780 Å; angles 90.00, 90.00, 90.00 degrees
Last column: nearest neighbours and their distance in Å.
Fractional coordinates of all 16 atoms:
Li1 0.0000 0.0000 0.0000  4 In 2.95, 8 Li 3.01
Li2 0.0000 0.0000 0.2498  4 In 2.95, 8 Li 3.00-3.01
Li3 0.0000 0.0000 0.5000  4 Tl 2.95, 8 Li 3.02
Li4 0.0000 0.0000 0.7502  4 In 2.95, 8 Li 3.00-3.01
Li5 0.0000 0.5000 0.1250  8 Li 2.95-3.01, 4 In 3.01
Li6 0.0000 0.5000 0.3740  8 Li 2.95-3.02, 2 In 3.00, 2 Tl 3.02
Li7 0.0000 0.5000 0.6260  8 Li 2.95-3.02, 2 In 3.00, 2 Tl 3.02
Li8 0.0000 0.5000 0.8750  8 Li 2.95-3.01, 4 In 3.01
Li9 0.5000 0.0000 0.1250  8 Li 2.95-3.01, 4 In 3.01
Li10 0.5000 0.0000 0.3740  8 Li 2.95-3.02, 2 In 3.00, 2 Tl 3.02
Li11 0.5000 0.0000 0.6260  8 Li 2.95-3.02, 2 In 3.00, 2 Tl 3.02
Li12 0.5000 0.0000 0.8750  8 Li 2.95-3.01, 4 In 3.01
Tl1 0.5000 0.5000 0.5000  12 Li 2.95-3.02
In1 0.5000 0.5000 0.0000  12 Li 2.95-3.01
In2 0.5000 0.5000 0.2495  12 Li 2.95-3.01
In3 0.5000 0.5000 0.7505  12 Li 2.95-3.01

## Properties
- Space group: P4/mmm (123)
- Formation energy from the elements: -3.1 eV/f.u.
- DFT total energy: -0.084 hartree per atom
- N(E_F): 4.6 states/eV/f.u.



3.
A plane-wave DFT calculation with PBE was carried out for a geometry-optimized MnAgPS2 structure.

Cell lengths 4.6147, 4.6147, 4.4272 Å; angles 90.00, 90.00, 90.00 degrees
Last column: nearest neighbours and their distance in Å.
Fractional coordinates of all 5 atoms:
Mn1 0.0000 0.0000 0.0000  2 P 2.21, 4 S 2.31
Ag1 0.5000 0.5000 0.5000  8 S 3.20, 4 P 3.26
P1 0.0000 0.0000 0.5000  2 Mn 2.21
S1 0.0000 0.5000 0.0000  2 Mn 2.31
S2 0.5000 0.0000 0.0000  2 Mn 2.31

## Properties
- Space group: P4/mmm (123)
- Relative energy among the computed polymorphs: 0.0000 eV/atom
- Energy relative to the elements, uncorrected: 35 kJ per mole of atoms
- DFT total energy: -0.175 hartree per atom
- N(E_F): 3.7 states/eV/f.u.



4.
A plane-wave DFT calculation with PBE was carried out for a geometry-optimized YErCdPd structure.

Cell lengths 3.5821, 3.5821, 7.3648 Å; angles 90.00, 90.00, 90.00 degrees
Last column: nearest neighbours and their distance in Å.
Fractional coordinates of all 4 atoms:
Y1 0.0000 0.0000 0.0000  4 Pd 3.08, 4 Cd 3.25, 1 Er 3.34
Er1 0.0000 0.0000 0.5462  4 Pd 2.99, 4 Cd 3.22, 1 Y 3.34
Cd1 0.5000 0.5000 0.2765  4 Er 3.22, 4 Y 3.25, 1 Pd 3.58, 4 Cd 3.58
Pd1 0.5000 0.5000 0.7627  4 Er 2.99, 4 Y 3.08

## Properties
- Space group: P4mm (99)
- Formation energy from the elements: -2.5 eV/f.u.
- Relative energy among the computed polymorphs: 0.0000 eV/atom
- DFT total energy: -0.180 hartree per atom
- N(E_F): 3.1 states/eV/f.u.



5.
A plane-wave DFT calculation with PBE was carried out for a geometry-optimized Pr6Tl3Ru structure.

Cell lengths 5.6009, 9.2815, 13.1238 Å; angles 90.00, 114.61, 90.00 degrees
Last column: nearest neighbours and their distance in Å.
Fractional coordinates of all 20 atoms:
Pr1 0.0485 0.1949 0.0669  1 Ru 2.94
Pr2 0.0485 0.3051 0.5669  1 Ru 2.94
Pr3 0.2715 0.5120 0.2371  1 Ru 2.84, 3 Tl 3.14-3.17
Pr4 0.2715 0.9880 0.7371  1 Ru 2.84, 3 Tl 3.14-3.17
Pr5 0.3855 0.1503 0.4211  2 Ru 3.09-3.45, 1 Tl 3.39, 1 Pr 3.39
Pr6 0.3855 0.3497 0.9211  2 Ru 3.09-3.45, 1 Tl 3.39, 1 Pr 3.39
Pr7 0.6145 0.6503 0.0789  2 Ru 3.09-3.45, 1 Tl 3.39, 1 Pr 3.39
Pr8 0.6145 0.8497 0.5789  2 Ru 3.09-3.45, 1 Tl 3.39, 1 Pr 3.39
Pr9 0.7286 0.0120 0.2629  1 Ru 2.84, 3 Tl 3.14-3.17
Pr10 0.7286 0.4880 0.7629  1 Ru 2.84, 3 Tl 3.14-3.17
Pr11 0.9515 0.6949 0.4331  1 Ru 2.94
Pr12 0.9515 0.8051 0.9331  1 Ru 2.94
Tl1 0.2093 0.6499 0.7396  4 Pr 3.16-3.53
Tl2 0.2093 0.8501 0.2396  4 Pr 3.16-3.53
Tl3 0.5000 0.0000 0.0000  8 Pr 3.14-3.51
Tl4 0.5000 0.5000 0.5000  8 Pr 3.14-3.51
Tl5 0.7907 0.1499 0.7604  4 Pr 3.16-3.53
Tl6 0.7907 0.3501 0.2604  4 Pr 3.16-3.53
Ru1 0.0000 0.0000 0.5000  6 Pr 2.84-3.09
Ru2 0.0000 0.5000 0.0000  6 Pr 2.84-3.09

## Properties
- Space group: P2_1/c (14)
- Formation energy from the elements: -2.4 eV/f.u.
- DFT total energy: -0.174 hartree per atom
- N(E_F): 7.9 states/eV/f.u.



6.
A plane-wave DFT calculation with PBE was carried out for a geometry-optimized Cd2AgOs structure.

Cell lengths 2.8075, 4.2603, 5.9994 Å; angles 90.00, 90.00, 90.00 degrees
Last column: nearest neighbours and their distance in Å.
Fractional coordinates of all 4 atoms:
Cd1 0.0000 0.0000 0.2412  4 Cd 2.81-3.11, 4 Os 2.93, 4 Ag 2.99
Cd2 0.0000 0.0000 0.7588  4 Cd 2.81-3.11, 4 Os 2.93, 4 Ag 2.99
Ag1 0.5000 0.5000 0.5000  2 Ag 2.81, 8 Cd 2.99, 2 Os 3.00
Os1 0.5000 0.5000 0.0000  2 Os 2.81, 8 Cd 2.93, 2 Ag 3.00

## Properties
- Space group: Pmmm (47)
- Formation energy from the elements: 1.8 eV/f.u.
- Relative energy among the computed polymorphs: 0.0992 eV/atom
- DFT total energy: -0.130 hartree per atom
- N(E_F): 2.2 states/eV/f.u.



7.
A plane-wave DFT calculation with PBE was carried out for a geometry-optimized CrCd2Au structure.

Cell lengths 5.0719, 5.0719, 5.0719 Å; angles 129.46, 129.46, 74.27 degrees
Last column: nearest neighbours and their distance in Å.
Fractional coordinates of all 4 atoms:
Cr1 0.0000 0.0000 0.0000  8 Cd 2.96-3.06, 4 Au 2.96
Cd1 0.2500 0.7500 0.5000  4 Cr 2.96, 4 Cd 2.96, 4 Au 3.06
Cd2 0.5000 0.5000 0.0000  4 Cd 2.96, 4 Au 2.96, 4 Cr 3.06
Au1 0.7500 0.2500 0.5000  4 Cr 2.96, 8 Cd 2.96-3.06

## Properties
- Space group: I-4m2 (119)
- Formation energy from the elements: 0.4 eV/f.u.
- Relative energy among the computed polymorphs: 0.0055 eV/atom
- DFT total energy: -0.131 hartree per atom
- N(E_F): 1.8 states/eV/f.u.



8.
A plane-wave DFT calculation with PBE was carried out for a geometry-optimized Hf5Cu2N2 structure.

Cell lengths 9.2657, 9.2657, 9.2657 Å; angles 55.69, 140.66, 142.21 degrees
Last column: nearest neighbours and their distance in Å.
Fractional coordinates of all 18 atoms:
Hf1 0.2001 0.4025 0.0810  1 N 2.08
Hf2 0.2001 0.6191 0.2976  1 N 2.08
Hf3 0.2477 0.0149 0.2626  2 N 2.18
Hf4 0.2477 0.4851 0.7329  2 N 2.18
Hf5 0.3216 0.1191 0.9190  1 N 2.08
Hf6 0.3216 0.9025 0.7024  1 N 2.08
Hf7 0.7204 0.5699 0.6505  2 N 2.11-2.13
Hf8 0.7523 0.5149 0.2671  2 N 2.18
Hf9 0.7523 0.9851 0.7374  2 N 2.18
Hf10 0.9194 0.0699 0.3495  2 N 2.11-2.13
Cu1 0.7257 0.1438 0.3765  6 Hf 2.57-2.83
Cu2 0.7257 0.8491 0.0819  6 Hf 2.57-2.83
Cu3 0.7672 0.3491 0.6235  6 Hf 2.57-2.83
Cu4 0.7672 0.6438 0.9181  6 Hf 2.57-2.83
N1 0.0818 0.9247 0.6571  4 Hf 2.08-2.13
N2 0.2519 0.2519 0.0000  6 Hf 2.18-2.35
N3 0.2519 0.7519 0.5000  6 Hf 2.18-2.35
N4 0.2676 0.4247 0.3429  4 Hf 2.08-2.13

## Properties
- Space group: Ima2 (46)
- Energy relative to the elements, uncorrected: -67 kJ per mole of atoms
- DFT total energy: -0.330 hartree per atom
- N(E_F): 3.9 states/eV/f.u.



9.
A plane-wave DFT calculation with PBE was carried out for a geometry-optimized LaPrAlCu structure.

Cell lengths 5.2795, 5.2795, 5.2795 Å; angles 60.00, 60.00, 60.00 degrees
Last column: nearest neighbours and their distance in Å.
Fractional coordinates of all 4 atoms:
La1 0.0000 0.0000 0.0000  4 Al 3.23, 4 Cu 3.23
Pr1 0.5000 0.5000 0.5000  4 Al 3.23, 4 Cu 3.23
Al1 0.7500 0.7500 0.7500  4 La 3.23, 4 Pr 3.23
Cu1 0.2500 0.2500 0.2500  4 La 3.23, 4 Pr 3.23

## Properties
- Space group: F-43m (216)
- Formation energy from the elements: -0.8 eV/f.u.
- DFT total energy: -0.168 hartree per atom
- N(E_F): 4.5 states/eV/f.u.



10.
A plane-wave DFT calculation with PBE was carried out for a geometry-optimized Pm2HoSc7 structure.

Cell lengths 14.0090, 14.0090, 3.3184 Å; angles 90.00, 90.00, 154.87 degrees
Last column: nearest neighbours and their distance in Å.
Fractional coordinates of all 10 atoms:
Pm1 0.2094 0.7906 0.0000  2 Pm 3.32, 8 Sc 3.44-3.56
Pm2 0.7906 0.2094 0.0000  2 Pm 3.32, 8 Sc 3.44-3.56
Ho1 0.5000 0.5000 0.5000  2 Ho 3.32, 12 Sc 3.47-3.48
Sc1 0.0000 0.0000 0.0000  6 Sc 3.08-3.32
Sc2 0.1570 0.3517 0.0000  7 Sc 3.00-3.32
Sc3 0.3197 0.6803 0.5000  6 Sc 3.19-3.32, 6 Pm 3.44-3.56
Sc4 0.3517 0.1570 0.0000  7 Sc 3.00-3.32
Sc5 0.6483 0.8430 0.0000  7 Sc 3.00-3.32
Sc6 0.6803 0.3197 0.5000  6 Sc 3.19-3.32, 6 Pm 3.44-3.56
Sc7 0.8430 0.6483 0.0000  7 Sc 3.00-3.32

## Properties
- Space group: Cmmm (65)
- Formation energy from the elements: 1.6 eV/f.u.
- DFT total energy: -0.209 hartree per atom
- N(E_F): 16.5 states/eV/f.u.



11.
A plane-wave DFT calculation with PBE was carried out for a geometry-optimized Ni6GePt2 structure.

Cell lengths 5.6291, 5.6291, 7.7882 Å; angles 104.19, 104.19, 27.75 degrees
Last column: nearest neighbours and their distance in Å.
Fractional coordinates of all 9 atoms:
Ni1 0.0001 0.0001 0.1837  1 Ge 2.46, 6 Ni 2.52-2.70, 4 Pt 2.58-2.61
Ni2 0.9999 0.9999 0.8163  1 Ge 2.46, 6 Ni 2.52-2.70, 4 Pt 2.58-2.61
Ni3 0.3327 0.3327 0.6045  9 Ni 2.46-2.70, 2 Ge 2.56, 1 Pt 2.60
Ni4 0.3371 0.3371 0.2897  7 Ni 2.46-2.70, 2 Ge 2.49, 3 Pt 2.65-2.73
Ni5 0.6629 0.6629 0.7103  7 Ni 2.46-2.70, 2 Ge 2.49, 3 Pt 2.65-2.73
Ni6 0.6673 0.6673 0.3955  9 Ni 2.46-2.70, 2 Ge 2.56, 1 Pt 2.60
Ge1 0.0000 0.0000 0.5000  10 Ni 2.46-2.56, 2 Ge 2.70
Pt1 0.3402 0.3402 0.9402  8 Ni 2.58-2.73, 4 Pt 2.70-2.74
Pt2 0.6598 0.6598 0.0598  8 Ni 2.58-2.73, 4 Pt 2.70-2.74

## Properties
- Space group: C2/m (12)
- Formation energy from the elements: -1.0 eV/f.u.
- DFT total energy: -0.214 hartree per atom
- N(E_F): 13.4 states/eV/f.u.



12.
A plane-wave DFT calculation with PBE was carried out for a geometry-optimized Ti2CuHPd structure.

Cell lengths 3.9430, 3.9430, 4.0138 Å; angles 90.00, 90.00, 90.00 degrees
Last column: nearest neighbours and their distance in Å.
Fractional coordinates of all 5 atoms:
Ti1 0.0000 0.5000 0.0000  2 H 1.97
Ti2 0.5000 0.0000 0.0000  2 H 1.97
Cu1 0.0000 0.0000 0.5000  4 Pd 2.79, 8 Ti 2.81
H1 0.5000 0.5000 0.0000  4 Ti 1.97, 2 Pd 2.01
Pd1 0.5000 0.5000 0.5000  2 H 2.01

## Properties
- Space group: P4/mmm (123)
- Relative energy among the computed polymorphs: 0.0431 eV/atom
- DFT total energy: -0.219 hartree per atom
- N(E_F): 5.5 states/eV/f.u.